First-principles (GGA-PBE) data for crystalline CaZnHg at its relaxed geometry, as listed in Alexandria via LeMat-Bulk.

Properties
- E (eV per atom) = -1.584

Cell: 4.720 4.720 3.733 Å, 90.00 90.00 120.00°
Fractional positions:
Ca 0.000 0.000 0.000
Zn 0.333 0.667 0.500
Hg 0.667 0.333 0.500


First-principles (GGA-PBE) data for crystalline Ca3Zn8Hg at its relaxed geometry, as listed in Alexandria via LeMat-Bulk.

Properties
- E (eV per atom) = -1.590

Cell: 5.493 5.493 9.553 Å, 73.29 73.29 60.00°
Fractional positions:
Hg 0.872 0.872 0.385
Zn 0.938 0.439 0.184
Zn 0.939 0.434 0.688
Zn 0.939 0.939 0.688
Zn 0.188 0.188 0.436
Zn 0.439 0.938 0.184
Zn 0.439 0.439 0.184
Zn 0.687 0.687 0.938
Zn 0.434 0.939 0.688
Ca 0.994 0.994 0.017
Ca 0.377 0.377 0.870
Ca 0.504 0.504 0.487


First-principles (GGA-PBE) data for crystalline CaZnHg at its relaxed geometry, as listed in Alexandria via LeMat-Bulk.

Properties
- E (eV per atom) = -1.182

Cell: 5.023 5.023 5.023 Å, 60.00 60.00 60.00°
Fractional positions:
Ca 0.750 0.750 0.750
Zn 0.500 0.500 0.500
Hg 0.000 0.000 0.000


First-principles (GGA-PBE) data for crystalline Ca4Zn2Hg5 at its relaxed geometry, as listed in Alexandria via LeMat-Bulk.

Properties
- E (eV per atom) = -1.493

Cell: 3.975 7.861 9.242 Å, 89.05 90.00 90.00°
Fractional positions:
Ca 0.500 0.735 0.607
Ca 0.500 0.265 0.393
Ca 0.500 0.205 0.864
Ca 0.500 0.795 0.136
Hg 0.000 0.500 0.000
Hg 0.000 0.411 0.651
Hg 0.000 0.139 0.133
Hg 0.000 0.589 0.349
Hg 0.000 0.861 0.867
Zn 0.000 0.938 0.378
Zn 0.000 0.062 0.622


Q: Which value of E does entry 2 give?
A: -1.590 eV per atom